The following is a DFT calculation (PBE-GGA) of an optimized crystal structure of Er3Mn2Ga9.

Cell and atoms, written as POSCAR:
```
Er3Mn2Ga9
1.0
-1.4117 -3.4062 -2.0121
0.0668 -5.9178 5.5868
-7.5594 -1.1126 2.8028
Ga Mn Er
9 2 3
Direct
0.1351 0.5798 0.1501
0.6517 0.7119 0.9846
0.3483 0.0154 0.2881
0.1351 0.1501 0.5798
0.8649 0.8499 0.4202
0.6517 0.9846 0.7119
0.0000 0.5000 0.5000
0.8649 0.4202 0.8499
0.3483 0.2881 0.0154
0.5000 0.6735 0.3265
0.5000 0.3265 0.6735
0.0000 0.0000 0.0000
0.2984 0.7016 0.7016
0.7016 0.2984 0.2984
```

- Energy of formation from the pure elements: -0.4501 eV/atom
- Space group: Immm (71)
- DOS(E_F): 5.84 states/eV per cell
- Final energy: -0.172 hartree per atom

=====

The following is a DFT calculation (PBE-GGA) of an optimized crystal structure of Sc2Al2Ga3.

Cell and atoms, written as POSCAR:
```
Sc2Al2Ga3
1.0
-6.0028 -2.5756 2.6860
0.1347 -1.1278 -6.9708
5.5070 -3.2348 3.0150
Al Ga Sc
4 6 4
Direct
0.1229 0.6229 0.6229
0.5000 0.8771 0.5000
0.3771 0.5000 0.0000
0.0000 0.0000 0.8771
0.7458 0.7500 0.9958
0.7542 0.2500 0.5042
0.2500 0.9958 0.2458
0.7500 0.5042 0.2542
0.4958 0.2458 0.7500
0.0042 0.2542 0.2500
0.5081 0.0081 0.0081
0.9919 0.5000 0.0000
0.0000 0.0000 0.4919
0.5000 0.4919 0.5000
```

- Energy of formation from the pure elements: -0.2464 eV/atom
- Space group: I2_13 (199)
- DOS(E_F): 8.95 states/eV per cell
- Final energy: -0.163 hartree per atom

=====

The following is a DFT calculation (PBE-GGA) of an optimized crystal structure of Th3SiP2.

Cell and atoms, written as POSCAR:
```
Th3SiP2
1.0
-2.1608 2.6355 -2.4290
-0.2095 -4.0969 -4.2589
-4.1960 -1.4785 5.7338
P Si Th
2 1 3
Direct
0.1661 0.1661 0.8322
0.8339 0.8339 0.1678
0.5000 0.5000 0.5000
0.8311 0.3311 0.1622
0.1689 0.6689 0.8378
0.5000 0.0000 0.5000
```

- Space group: Immm (71)
- DOS(E_F): 2.65 states/eV per cell
- ΔE_f (raw): -1.249 eV/atom
- Final energy: -0.282 hartree per atom

=====

The following is a DFT calculation (PBE-GGA) of an optimized crystal structure of TcAgSn2.

Cell and atoms, written as POSCAR:
```
TcAgSn2
1.0
0.0000 3.3861 3.3861
3.3861 0.0000 3.3861
3.3861 3.3861 0.0000
Tc Sn Ag
1 2 1
Direct
0.0000 0.0000 0.0000
0.2500 0.2500 0.2500
0.7500 0.7500 0.7500
0.5000 0.5000 0.5000
```

- Energy of formation from the pure elements: 0.3665 eV/atom
- Space group: Fm-3m (225)
- DOS(E_F): 3.29 states/eV per cell
- Final energy: -0.182 hartree per atom

=====

The following is a DFT calculation (PBE-GGA) of an optimized crystal structure of VTcHIr2.

Cell and atoms, written as POSCAR:
```
VTcHIr2
1.0
3.8743 0.0000 0.0000
0.0000 3.8743 0.0000
0.0000 0.0000 3.9457
Ir Tc H V
2 1 1 1
Direct
0.0000 0.5000 0.0000
0.5000 0.0000 0.0000
0.0000 0.0000 0.5000
0.0000 0.0000 0.0000
0.5000 0.5000 0.5000
```

- Space group: P4/mmm (123)
- DOS(E_F): 3.06 states/eV per cell
- Final energy: -0.305 hartree per atom

=====

The following is a DFT calculation (PBE-GGA) of an optimized crystal structure of Cs2TaCuSe4.

Cell and atoms, written as POSCAR:
```
Cs2TaCuSe4
1.0
-5.5870 1.5595 -0.3668
-4.5172 -6.0315 -2.8877
-4.7898 -3.5237 11.9279
Cu Se Cs Ta
2 8 4 2
Direct
0.0000 0.0000 0.0000
0.7500 0.5000 0.5000
0.5974 0.1875 0.1060
0.8909 0.8125 0.8940
0.2152 0.1875 0.8940
0.8591 0.6875 0.6060
0.5348 0.3125 0.6060
0.1526 0.3125 0.3940
0.2966 0.8125 0.1060
0.4534 0.6875 0.3940
0.9275 0.5000 0.1450
0.5725 0.5000 0.8550
0.8225 0.0000 0.3550
0.1775 0.0000 0.6450
0.2500 0.5000 0.5000
0.5000 0.0000 0.0000
```

- Space group: Fddd (70)
- DOS(E_F): 0.00 states/eV per cell
- ΔE_f (raw): -1.007 eV/atom
- Final energy: -0.182 hartree per atom